SrNi2S3 | PBE | optimized geometry

```
12
Lattice="6.306 -1.838 0.000 6.306 1.838 0.000 0.000 0.000 9.103" Properties=species:S:1:pos:R:3 pbc="T T T"
Ni 0.000 0.000 0.000
Ni 6.713 0.000 2.276
Ni 0.000 0.000 4.552
Ni 5.899 0.000 6.827
S 7.896 0.000 0.390
S 11.849 0.000 2.276
S 7.896 0.000 4.162
S 4.716 0.000 4.941
S 0.763 0.000 6.827
S 4.716 0.000 8.713
Sr 3.139 0.000 2.276
Sr 9.473 0.000 6.827
```

Calculated density (Mg/m³): 4.7
Space-group type: No. 63
DFT total energy (eV/atom): -4.938
Crystal system: orthorhombic

=====

RbNiAuS3 | PBE | optimized geometry

```
12
Lattice="1.755 -7.847 0.000 1.755 7.847 0.000 0.000 0.000 10.010" Properties=species:S:1:pos:R:3 pbc="T T T"
Au 1.755 1.496 2.503
Au 1.755 -1.496 7.508
Ni 0.000 0.000 0.000
Ni 0.000 0.000 5.005
Rb 1.755 -3.418 2.503
Rb 1.755 3.418 7.508
S 1.755 1.476 0.176
S 1.755 7.239 2.503
S 1.755 1.476 4.829
S 1.755 -1.476 5.181
S 1.755 -7.239 7.508
S 1.755 -1.476 9.834
```

Calculated density (Mg/m³): 5.3
Space-group type: No. 63
DFT total energy (eV/atom): -3.934
Crystal system: orthorhombic

=====

Tl3As2Au3 | PBE | optimized geometry

```
8
Lattice="3.047 1.759 6.566 -3.047 1.759 6.566 0.000 -3.518 6.566" Properties=species:S:1:pos:R:3 pbc="T T T"
As 0.000 0.000 4.732
As 0.000 0.000 14.966
Au 0.000 1.759 6.566
Au 1.523 -0.880 6.566
Au -1.523 -0.880 6.566
Tl 0.000 0.000 1.680
Tl 0.000 0.000 9.849
Tl 0.000 0.000 18.018
```

Calculated density (Mg/m³): 10.6
Space-group type: No. 166
DFT total energy (eV/atom): -3.323
Crystal system: trigonal

=====

NdYZr2Sb2 | PBE | optimized geometry

```
6
Lattice="-1.584 -6.255 6.236 -6.359 -5.832 2.461 5.214 3.925 -6.158" Properties=species:S:1:pos:R:3 pbc="T T T"
Nd -5.386 -8.196 5.897
Sb -1.030 -1.568 1.128
Sb -6.907 -10.511 7.563
Y -2.577 -3.921 2.821
Zr -2.149 -7.198 4.380
Zr -4.537 -6.987 2.493
```

Calculated density (Mg/m³): 7.0
Space-group type: No. 107
DFT total energy (eV/atom): -6.913
Crystal system: tetragonal